[1]
Below is a geometry-optimized Ca2CeIr2 structure, with properties calculated at the PBE-GGA level.

Values from the calculation:
The value obtained for the magnetic moment is 0.17 μB/f.u. The calculation puts the total energy at -60.48 eV per cell.

Cell lengths 4.315, 5.959, 9.418 Å; angles 90.00, 90.00, 90.00 degrees
Space group Immm (No. 71)
Inequivalent atoms, fractional coordinates:
Ca1 0.000 0.000 0.199 [4 per cell]
Ce1 0.000 0.500 0.000 [2 per cell]
Ir1 0.000 0.278 0.500 [4 per cell]

=====

[2]
Below is a geometry-optimized CaCe2Ir2 structure, with properties calculated at the PBE-GGA level.

Values from the calculation:
The value obtained for the magnetic moment is 0.79 μB/f.u. As for the energy above the most stable polymorph in this dataset: 0 meV per atom. The calculation puts the total energy at -68.98 eV per cell.

Cell lengths 7.909, 7.909, 3.762 Å; angles 90.00, 90.00, 90.00 degrees
Space group P4/mbm (No. 127)
Inequivalent atoms, fractional coordinates:
Ca1 0.000 0.000 0.000 [2 per cell]
Ce1 0.157 0.343 0.500 [4 per cell]
Ir1 0.139 0.639 0.000 [4 per cell]

=====

[3]
Below is a geometry-optimized CaCeIr4 structure, with properties calculated at the PBE-GGA level.

Values from the calculation:
The value obtained for the magnetic moment is 0.00 μB/f.u. The calculation puts the total energy at -189.12 eV per cell.

Cell lengths 7.607, 7.607, 7.607 Å; angles 90.00, 90.00, 90.00 degrees
Space group F-43m (No. 216)
Inequivalent atoms, fractional coordinates:
Ca1 0.000 0.000 0.000 [4 per cell]
Ce1 0.250 0.250 0.250 [4 per cell]
Ir1 0.125 0.125 0.625 [16 per cell]

=====

[4]
Below is a geometry-optimized CaCe4Ir4 structure, with properties calculated at the PBE-GGA level.

Values from the calculation:
The value obtained for the magnetic moment is 0.97 μB/f.u. The calculation puts the total energy at -133.56 eV per cell.

Cell lengths 9.082, 9.082, 5.613 Å; angles 90.00, 90.00, 90.00 degrees
Space group P4_2/n (No. 86, origin choice 2)
Inequivalent atoms, fractional coordinates:
Ca1 0.250 0.250 0.250 [2 per cell]
Ce1 0.072 0.651 0.183 [8 per cell]
Ir1 0.051 0.620 0.681 [8 per cell]

=====

[5]
Below is a geometry-optimized Ca2CeIr9 structure, with properties calculated at the PBE-GGA level.

Values from the calculation:
The value obtained for the magnetic moment is 0.00 μB/f.u. The calculation puts the total energy at -283.53 eV per cell.

Cell lengths 5.3343, 5.3343, 26.3157 Å; angles 90.00, 90.00, 120.00 degrees
Space group R-3m (No. 166, hexagonal axes)
Inequivalent atoms, fractional coordinates:
Ca1 0.0000 0.0000 0.1416 [6 per cell]
Ce1 0.0000 0.0000 0.0000 [3 per cell]
Ir1 0.0000 0.0000 0.3327 [6 per cell]
Ir2 0.0000 0.0000 0.5000 [3 per cell]
Ir3 0.0018 0.5009 0.0816 [18 per cell]

=====

[6]
Below is a geometry-optimized LiCaCeIr structure, with properties calculated at the PBE-GGA level.

Values from the calculation:
The value obtained for the magnetic moment is 0.88 μB/f.u. The calculation puts the total energy at -79.23 eV per cell.

Cell lengths 7.050, 7.050, 7.050 Å; angles 90.00, 90.00, 90.00 degrees
Space group F-43m (No. 216)
Inequivalent atoms, fractional coordinates:
Li1 0.000 0.000 0.000 [4 per cell]
Ca1 0.250 0.250 0.250 [4 per cell]
Ce1 0.250 0.250 0.750 [4 per cell]
Ir1 0.000 0.000 0.500 [4 per cell]

=====

[7]
Below is a geometry-optimized CaCeMgIr structure, with properties calculated at the PBE-GGA level.

Values from the calculation:
The value obtained for the magnetic moment is 0.31 μB/f.u. The calculation puts the total energy at -76.98 eV per cell.

Cell lengths 7.171, 7.171, 7.171 Å; angles 90.00, 90.00, 90.00 degrees
Space group F-43m (No. 216)
Inequivalent atoms, fractional coordinates:
Ca1 0.000 0.000 0.000 [4 per cell]
Ce1 0.000 0.000 0.500 [4 per cell]
Mg1 0.250 0.250 0.750 [4 per cell]
Ir1 0.250 0.250 0.250 [4 per cell]

=====

[8]
Below is a geometry-optimized CaCe2IrN4 structure, with properties calculated at the PBE-GGA level.

Values from the calculation:
The value obtained for the magnetic moment is 0.00 μB/f.u. The calculation puts the uncorrected formation energy at -0.83 eV per atom. The calculation puts the total energy at -250.54 eV per cell.

Cell lengths 3.427, 11.992, 11.822 Å; angles 90.00, 90.00, 90.00 degrees
Space group Cmcm (No. 63)
Inequivalent atoms, fractional coordinates:
Ca1 0.000 0.112 0.250 [4 per cell]
Ce1 0.000 0.369 0.047 [8 per cell]
Ir1 0.000 0.150 0.750 [4 per cell]
N1 0.000 0.000 0.000 [4 per cell]
N2 0.000 0.266 0.620 [8 per cell]
N3 0.000 0.450 0.250 [4 per cell]

=====

[9]
Below is a geometry-optimized CaCeNiIr structure, with properties calculated at the PBE-GGA level.

Values from the calculation:
The value obtained for the magnetic moment is 0.33 μB/f.u. The calculation puts the total energy at -96.01 eV per cell.

Cell lengths 6.859, 6.859, 6.859 Å; angles 90.00, 90.00, 90.00 degrees
Space group F-43m (No. 216)
Inequivalent atoms, fractional coordinates:
Ca1 0.000 0.000 0.000 [4 per cell]
Ce1 0.000 0.000 0.500 [4 per cell]
Ni1 0.250 0.250 0.750 [4 per cell]
Ir1 0.250 0.250 0.250 [4 per cell]

=====

[10]
Below is a geometry-optimized CaCeIrO6 structure, with properties calculated at the PBE-GGA level.

Values from the calculation:
The value obtained for the magnetic moment is 3.05 μB/f.u. The calculation puts the uncorrected formation energy at -2.05 eV per atom. The calculation puts the total energy at -130.04 eV per cell.

Cell lengths 5.5811, 5.5811, 9.7179 Å; angles 90.00, 90.00, 120.00 degrees
Space group P-31c (No. 163)
Inequivalent atoms, fractional coordinates:
Ca1 0.0000 0.0000 0.0000 [2 per cell]
Ce1 0.3333 0.6667 0.2500 [2 per cell]
Ir1 0.3333 0.6667 0.7500 [2 per cell]
O1 0.0400 0.3766 0.6384 [12 per cell]